DFT (PBE) results for a relaxed NaTiVAg2 crystal.

Output
**DFT formation energy**: 1.3730 eV per atom
**Final energy**: -3.4340 eV/atom

Structure (POSCAR):
```
NaTiVAg2
1.0
-4.350 1.795 1.483
0.523 -2.284 4.299
2.268 3.978 1.838
Ag Ti V Na
2 1 1 1
direct
0.000 0.000 0.500
0.500 0.000 0.000
0.500 0.500 0.500
0.000 0.000 0.000
0.000 0.500 0.000
```



DFT (PBE) results for a relaxed Y3BH crystal.

Output
**Final energy**: -5.6026 eV/atom

Structure (POSCAR):
```
Y3BH
1.0
-4.142 -1.207 1.509
1.926 -2.278 3.463
-0.162 3.774 2.573
Y H B
3 1 1
direct
0.500 0.000 0.000
0.000 0.000 0.500
0.000 0.500 0.000
0.000 0.000 0.000
0.500 0.500 0.500
```



DFT (PBE) results for a relaxed Na3AgHg2 crystal.

Output
**DFT formation energy**: -0.1339 eV per atom
**Final energy**: -1.3692 eV/atom

Structure (POSCAR):
```
Na3AgHg2
1.0
6.181 0.000 0.000
0.000 6.415 0.174
-3.090 -1.404 7.771
Ag Na Hg
2 6 4
direct
0.249 0.250 0.000
0.751 0.750 0.000
0.893 0.342 0.640
0.747 0.842 0.640
0.759 0.250 0.000
0.241 0.750 0.000
0.253 0.158 0.360
0.107 0.658 0.360
0.298 0.987 0.709
0.412 0.487 0.709
0.702 0.013 0.291
0.588 0.513 0.291
```



DFT (PBE) results for a relaxed Pm5SmCd4 crystal.

Output
**DFT formation energy**: -0.2411 eV per atom
**Final energy**: -3.4543 eV/atom

Structure (POSCAR):
```
Pm5SmCd4
1.0
3.776 0.000 0.000
0.000 3.776 0.000
0.000 0.000 20.625
Pm Cd Sm
5 4 1
direct
0.500 0.500 0.500
0.500 0.500 0.689
0.500 0.500 0.120
0.500 0.500 0.880
0.500 0.500 0.311
0.000 0.000 0.785
0.000 0.000 0.215
0.000 0.000 0.405
0.000 0.000 0.595
0.000 0.000 0.000
```



DFT (PBE) results for a relaxed CsCo crystal.

Output
**DFT formation energy**: 1.5043 eV per atom
**Final energy**: -2.4754 eV/atom

Structure (POSCAR):
```
CsCo
1.0
-4.399 -2.138 -5.707
2.152 -7.130 1.012
-5.702 -1.041 4.785
Co Cs
4 4
direct
0.500 0.500 0.000
0.000 0.500 0.500
0.000 0.000 0.000
0.500 0.000 0.500
0.000 0.500 0.000
0.000 0.000 0.500
0.500 0.000 0.000
0.500 0.500 0.500
```



DFT (PBE) results for a relaxed NpPaSe crystal.

Output
**Final energy**: -8.9214 eV/atom
**E_form (uncorrected)**: -0.843 eV/f.u.

Structure (POSCAR):
```
NpPaSe
1.0
7.371 0.000 0.000
0.000 5.284 0.000
0.000 0.000 7.272
Pa Se Np
4 4 4
direct
0.500 0.760 0.750
0.000 0.240 0.250
0.500 0.240 0.250
0.000 0.760 0.750
0.750 0.570 0.459
0.250 0.570 0.041
0.750 0.430 0.959
0.250 0.430 0.541
0.250 0.926 0.358
0.750 0.926 0.142
0.750 0.074 0.642
0.250 0.074 0.858
```



DFT (PBE) results for a relaxed PmPr4Nd4 crystal.

Output
**DFT formation energy**: 0.0125 eV per atom
**Final energy**: -4.7586 eV/atom

Structure (POSCAR):
```
PmPr4Nd4
1.0
5.229 0.000 0.000
2.615 7.834 0.000
2.615 0.000 7.834
Pr Nd Pm
4 4 1
direct
0.332 0.668 0.668
0.000 0.668 0.332
0.000 0.332 0.668
0.668 0.332 0.332
0.334 0.332 0.000
0.666 0.000 0.668
0.666 0.668 0.000
0.334 0.000 0.332
0.000 0.000 0.000
```



DFT (PBE) results for a relaxed KZrIn4 crystal.

Output
**DFT formation energy**: 0.1269 eV per atom
**Final energy**: -3.3063 eV/atom

Structure (POSCAR):
```
KZrIn4
1.0
0.000 4.272 4.272
4.272 0.000 4.272
4.272 4.272 0.000
In K Zr
4 1 1
direct
0.375 0.876 0.375
0.375 0.375 0.375
0.876 0.375 0.375
0.375 0.375 0.876
0.750 0.750 0.750
0.000 0.000 0.000
```



DFT (PBE) results for a relaxed Cd2HOsO6 crystal.

Output
**Final energy**: -5.3455 eV/atom

Structure (POSCAR):
```
Cd2HOsO6
1.0
-0.889 4.620 -2.495
-4.324 -0.420 0.763
1.055 4.880 8.664
Os O H Cd
2 12 2 4
direct
0.000 0.500 0.000
0.500 0.000 0.500
0.642 0.239 0.366
0.642 0.239 0.633
0.358 0.761 0.367
0.858 0.739 0.867
0.843 0.740 0.500
0.142 0.261 0.133
0.657 0.240 0.000
0.142 0.261 0.866
0.858 0.739 0.134
0.157 0.260 0.500
0.358 0.761 0.634
0.343 0.760 0.000
0.000 0.500 0.500
0.500 0.000 0.000
0.500 0.500 0.812
0.000 0.000 0.312
0.000 0.000 0.688
0.500 0.500 0.188
```



DFT (PBE) results for a relaxed DyH6Pd8 crystal.

Output
**Final energy**: -4.7352 eV/atom

Structure (POSCAR):
```
DyH6Pd8
1.0
4.003 0.129 0.606
1.641 6.073 1.390
-1.044 0.771 6.723
Pd H Dy
8 6 1
direct
0.115 0.770 0.675
0.220 0.559 0.329
0.780 0.441 0.671
0.333 0.335 0.998
0.885 0.230 0.325
0.667 0.665 0.002
0.446 0.107 0.668
0.554 0.893 0.332
0.709 0.591 0.294
0.078 0.841 0.383
0.291 0.409 0.706
0.614 0.772 0.717
0.386 0.228 0.283
0.922 0.159 0.617
0.000 0.000 0.000
```



DFT (PBE) results for a relaxed Ac3AlTl4S8 crystal.

Output
**Final energy**: -4.8807 eV/atom
**E_form (uncorrected)**: -19.538 eV/f.u.

Structure (POSCAR):
```
Ac3AlTl4S8
1.0
-6.324 0.795 5.560
1.483 -8.419 2.891
6.456 5.569 0.114
S Tl Ac Al
8 4 3 1
direct
0.218 0.314 0.017
0.764 0.284 0.529
0.782 0.686 0.983
0.738 0.716 0.476
0.236 0.716 0.471
0.262 0.284 0.524
0.201 0.686 0.983
0.799 0.314 0.017
0.000 0.000 0.500
0.500 0.000 0.000
0.500 0.000 0.500
0.000 0.000 0.000
0.500 0.500 0.500
0.000 0.500 0.500
0.500 0.500 0.000
0.000 0.500 0.000
```



DFT (PBE) results for a relaxed La3Tb6Ho2In crystal.

Output
**DFT formation energy**: -0.0344 eV per atom
**Final energy**: -4.5726 eV/atom

Structure (POSCAR):
```
La3Tb6Ho2In
1.0
-1.951 5.553 1.906
1.277 -4.421 4.135
11.178 3.285 -1.487
Ho La Tb In
2 3 6 1
direct
0.334 0.666 0.000
0.666 0.334 0.000
0.169 0.831 0.500
0.831 0.169 0.500
0.500 0.500 0.500
0.753 0.753 0.242
0.594 0.920 0.759
0.080 0.406 0.241
0.920 0.594 0.759
0.406 0.080 0.241
0.247 0.247 0.758
0.000 0.000 0.000
```